# 1
Here is an optimized crystal structure of LaSmIn2Pd4 from OQMD via LeMat-Bulk. Energies are from PBE.

Summary:
**Final energy**: -5.281 eV/atom
**SG**: P-6m2

abc: 4.6651 4.6651 9.1777
angles: 90.00 90.00 120.00
Last column: nearest neighbours and their distance in Å.
Sites, in units of the cell vectors:
La: 0.0000 0.0000 0.0000  8 Pd 3.09-3.12
Sm: 0.3333 0.6667 0.5000  8 Pd 3.01-3.08
In: 0.6667 0.3333 0.2578  6 Pd 2.79-2.81
In: 0.6667 0.3333 0.7422  6 Pd 2.79-2.81
Pd: 0.0000 0.0000 0.3371  3 In 2.79, 4 Pd 2.99-3.09, 3 Sm 3.08, 1 La 3.09
Pd: 0.0000 0.0000 0.6629  3 In 2.79, 4 Pd 2.99-3.09, 3 Sm 3.08, 1 La 3.09
Pd: 0.3333 0.6667 0.1717  3 In 2.81, 1 Sm 3.01, 3 Pd 3.09, 3 La 3.12
Pd: 0.3333 0.6667 0.8283  3 In 2.81, 1 Sm 3.01, 3 Pd 3.09, 3 La 3.12

# 2
Here is an optimized crystal structure of ScCoCuSi from OQMD via LeMat-Bulk. Energies are from PBE.

Summary:
**Distance to the lowest polymorph of the same formula**: 100.5 meV per atom
**SG**: F-43m

abc: 4.2450 4.2450 4.2450
angles: 60.00 60.00 60.00
Last column: nearest neighbours and their distance in Å.
Sites, in units of the cell vectors:
Sc: 0.0000 0.0000 0.0000  4 Cu 2.60, 4 Si 2.60
Co: 0.5000 0.5000 0.5000  4 Cu 2.60, 4 Si 2.60
Cu: 0.7500 0.7500 0.7500  4 Co 2.60, 4 Sc 2.60
Si: 0.2500 0.2500 0.2500  4 Co 2.60, 4 Sc 2.60

# 3
Here is an optimized crystal structure of NaSiTe2AuSe from OQMD via LeMat-Bulk. Energies are from PBE.

Summary:
**Final energy**: -3.473 eV/atom
**SG**: Cmcm

abc: 7.8127 7.8127 10.7763
angles: 90.00 90.00 152.30
Last column: nearest neighbours and their distance in Å.
Sites, in units of the cell vectors:
Na: 0.2121 0.7879 0.7500  2 Te 3.06, 2 Au 3.07, 2 Se 3.25
Na: 0.7879 0.2121 0.2500  2 Te 3.06, 2 Au 3.07, 2 Se 3.25
Si: 0.5000 0.5000 0.0000  4 Te 2.72, 2 Se 2.75
Si: 0.5000 0.5000 0.5000  4 Te 2.72, 2 Se 2.75
Te: 0.1302 0.8698 0.0098  1 Au 2.59, 2 Si 2.72
Te: 0.1302 0.8698 0.4902  1 Au 2.59, 2 Si 2.72
Te: 0.8698 0.1302 0.5098  1 Au 2.59, 2 Si 2.72
Te: 0.8698 0.1302 0.9902  1 Au 2.59, 2 Si 2.72
Au: 0.1271 0.8729 0.2500  2 Te 2.59
Au: 0.8729 0.1271 0.7500  2 Te 2.59
Se: 0.4632 0.5368 0.2500  2 Si 2.75
Se: 0.5368 0.4632 0.7500  2 Si 2.75

# 4
Here is an optimized crystal structure of La3Mg3Hg2Au from OQMD via LeMat-Bulk. Energies are from PBE.

Summary:
**Final energy**: -3.082 eV/atom
**SG**: P-62m

abc: 7.6351 7.6351 4.7339
angles: 90.00 90.00 120.00
Last column: nearest neighbours and their distance in Å.
Sites, in units of the cell vectors:
La: 0.0000 0.4141 0.0000  1 Au 3.16, 4 Hg 3.30
La: 0.4141 0.0000 0.0000  1 Au 3.16, 4 Hg 3.30
La: 0.5859 0.5859 0.0000  1 Au 3.16, 4 Hg 3.30
Mg: 0.0000 0.7685 0.5000  2 Au 2.95, 2 Hg 3.01, 2 Mg 3.06
Mg: 0.2315 0.2315 0.5000  2 Au 2.95, 2 Hg 3.01, 2 Mg 3.06
Mg: 0.7685 0.0000 0.5000  2 Au 2.95, 2 Hg 3.01, 2 Mg 3.06
Hg: 0.3333 0.6667 0.5000  3 Mg 3.01, 6 La 3.30
Hg: 0.6667 0.3333 0.5000  3 Mg 3.01, 6 La 3.30
Au: 0.0000 0.0000 0.0000  6 Mg 2.95, 3 La 3.16

# 5
Here is an optimized crystal structure of YCdHg2 from OQMD via LeMat-Bulk. Energies are from PBE.

Summary:
**Energy of formation**: -0.385 eV/atom
**SG**: Pmmn

abc: 5.1006 7.1857 5.1007
angles: 90.00 90.00 90.00
Last column: nearest neighbours and their distance in Å.
Sites, in units of the cell vectors:
Y: 0.2500 0.2500 0.2481  8 Hg 3.12
Y: 0.7500 0.7500 0.7519  8 Hg 3.12
Cd: 0.2500 0.7500 0.2478  8 Hg 3.12
Cd: 0.7500 0.2500 0.7522  8 Hg 3.12
Hg: 0.2500 0.0000 0.7478  4 Y 3.12, 4 Cd 3.12
Hg: 0.2500 0.5000 0.7478  4 Y 3.12, 4 Cd 3.12
Hg: 0.7500 0.0000 0.2522  4 Y 3.12, 4 Cd 3.12
Hg: 0.7500 0.5000 0.2522  4 Y 3.12, 4 Cd 3.12

# 6
Here is an optimized crystal structure of NbFeBOs from OQMD via LeMat-Bulk. Energies are from PBE.

Summary:
**Distance to the lowest polymorph of the same formula**: 0.0 meV per atom
**SG**: F-43m

abc: 4.1462 4.1462 4.1462
angles: 60.00 60.00 60.00
Last column: nearest neighbours and their distance in Å.
Sites, in units of the cell vectors:
Nb: 0.0000 0.0000 0.0000  4 Fe 2.54, 4 Os 2.54
Fe: 0.7500 0.7500 0.7500  4 Nb 2.54, 4 B 2.54
B: 0.5000 0.5000 0.5000  4 Fe 2.54, 4 Os 2.54
Os: 0.2500 0.2500 0.2500  4 Nb 2.54, 4 B 2.54

# 7
Here is an optimized crystal structure of CdFe2Te4 from OQMD via LeMat-Bulk. Energies are from PBE.

Summary:
**Final energy**: -4.336 eV/atom
**SG**: Fd-3m

abc: 7.8797 7.8797 7.8797
angles: 60.00 60.00 60.00
Last column: nearest neighbours and their distance in Å.
Sites, in units of the cell vectors:
Cd: 0.1250 0.1250 0.1250  4 Te 2.77
Cd: 0.8750 0.8750 0.8750  4 Te 2.77
Fe: 0.0000 0.5000 0.5000  6 Te 2.59
Fe: 0.5000 0.0000 0.5000  6 Te 2.59
Fe: 0.5000 0.5000 0.0000  6 Te 2.59
Fe: 0.5000 0.5000 0.5000  6 Te 2.59
Te: 0.2688 0.2688 0.2688  3 Fe 2.59, 1 Cd 2.77
Te: 0.2688 0.2688 0.6937  3 Fe 2.59, 1 Cd 2.77
Te: 0.2688 0.6937 0.2688  3 Fe 2.59, 1 Cd 2.77
Te: 0.3063 0.7312 0.7312  3 Fe 2.59, 1 Cd 2.77
Te: 0.6937 0.2688 0.2688  3 Fe 2.59, 1 Cd 2.77
Te: 0.7312 0.3063 0.7312  3 Fe 2.59, 1 Cd 2.77
Te: 0.7312 0.7312 0.3063  3 Fe 2.59, 1 Cd 2.77
Te: 0.7312 0.7312 0.7312  3 Fe 2.59, 1 Cd 2.77

# 8
Here is an optimized crystal structure of DyYGa2 from OQMD via LeMat-Bulk. Energies are from PBE.

Summary:
**Final energy**: -4.929 eV/atom
**SG**: Cmcm

abc: 6.9390 6.9390 6.6474
angles: 90.00 90.00 143.42
Last column: nearest neighbours and their distance in Å.
Sites, in units of the cell vectors:
Dy: 0.2228 0.7772 0.7500  6 Ga 3.02-3.10
Dy: 0.7772 0.2228 0.2500  6 Ga 3.02-3.10
Y: 0.0533 0.9467 0.2500  8 Ga 3.03-3.23
Y: 0.9467 0.0533 0.7500  8 Ga 3.03-3.23
Ga: 0.4017 0.5983 0.0539  2 Ga 2.61-2.69
Ga: 0.4017 0.5983 0.4461  2 Ga 2.61-2.69
Ga: 0.5983 0.4017 0.5539  2 Ga 2.61-2.69
Ga: 0.5983 0.4017 0.9461  2 Ga 2.61-2.69

# 9
Here is an optimized crystal structure of SmYNi from OQMD via LeMat-Bulk. Energies are from PBE.

Summary:
**Energy of formation**: -0.110 eV/atom
**Distance to the lowest polymorph of the same formula**: 0.0 meV per atom
**SG**: F-43m

abc: 4.7991 4.7991 4.7991
angles: 60.00 60.00 60.00
Last column: nearest neighbours and their distance in Å.
Sites, in units of the cell vectors:
Sm: 0.0000 0.0000 0.0000  4 Ni 2.94
Y: 0.5000 0.5000 0.5000  4 Ni 2.94
Ni: 0.2500 0.2500 0.2500  4 Y 2.94, 4 Sm 2.94

# 10
Here is an optimized crystal structure of BaSbAu from OQMD via LeMat-Bulk. Energies are from PBE.

Summary:
**Final energy**: -3.795 eV/atom
**SG**: P-62m

abc: 7.8670 7.8670 4.9501
angles: 90.00 90.00 120.00
Last column: nearest neighbours and their distance in Å.
Sites, in units of the cell vectors:
Ba: 0.0000 0.5774 0.0000  5 Sb 3.32-3.41, 2 Au 3.59
Ba: 0.4226 0.4226 0.0000  5 Sb 3.32-3.41, 2 Au 3.59
Ba: 0.5774 0.0000 0.0000  5 Sb 3.32-3.41, 2 Au 3.59
Sb: 0.0000 0.0000 0.0000  6 Au 3.15, 3 Ba 3.32
Sb: 0.3333 0.6667 0.5000  3 Au 3.02
Sb: 0.6667 0.3333 0.5000  3 Au 3.02
Au: 0.0000 0.2471 0.5000  4 Sb 3.02-3.15, 2 Au 3.37
Au: 0.2471 0.0000 0.5000  4 Sb 3.02-3.15, 2 Au 3.37
Au: 0.7529 0.7529 0.5000  4 Sb 3.02-3.15, 2 Au 3.37

# 11
Here is an optimized crystal structure of TbPrH2Br4 from OQMD via LeMat-Bulk. Energies are from PBE.

Summary:
**Final energy**: -4.375 eV/atom
**SG**: P-6m2

abc: 3.9464 3.9464 14.8961
angles: 90.00 90.00 120.00
Last column: nearest neighbours and their distance in Å.
Sites, in units of the cell vectors:
Tb: 0.0000 0.0000 0.0000  3 H 2.28
Pr: 0.0000 0.0000 0.5000  3 H 2.28
H: 0.3333 0.6667 0.5000  3 Pr 2.28
H: 0.6667 0.3333 0.0000  3 Tb 2.28
Br: 0.3333 0.6667 0.1266  3 Tb 2.96, 3 H 2.96
Br: 0.3333 0.6667 0.8734  3 Tb 2.96, 3 H 2.96
Br: 0.6667 0.3333 0.3665  3 Pr 3.02, 3 H 3.02
Br: 0.6667 0.3333 0.6335  3 Pr 3.02, 3 H 3.02

# 12
Here is an optimized crystal structure of Al2Ga2W from OQMD via LeMat-Bulk. Energies are from PBE.

Summary:
**Distance to the lowest polymorph of the same formula**: 0.0 meV per atom
**SG**: I4/mmm

abc: 6.7649 6.7649 6.7649
angles: 149.41 149.41 43.80
Last column: nearest neighbours and their distance in Å.
Sites, in units of the cell vectors:
Al: 0.0953 0.0953 0.0000  1 Al 2.39, 4 Ga 2.64
Al: 0.9047 0.9047 0.0000  1 Al 2.39, 4 Ga 2.64
Ga: 0.2500 0.7500 0.5000  4 Ga 2.52, 4 Al 2.64
Ga: 0.7500 0.2500 0.5000  4 Ga 2.52, 4 Al 2.64
W: 0.5000 0.5000 0.0000  8 Al 2.79

# 13
Here is an optimized crystal structure of Be2SiNi from OQMD via LeMat-Bulk. Energies are from PBE.

Summary:
**Final energy**: -4.738 eV/atom
**SG**: F-43m

abc: 3.8036 3.8036 3.8036
angles: 60.00 60.00 60.00
Last column: nearest neighbours and their distance in Å.
Sites, in units of the cell vectors:
Be: 0.0000 0.0000 0.0000  4 Ni 2.33, 4 Be 2.33
Be: 0.2500 0.2500 0.2500  4 Be 2.33, 4 Si 2.33
Si: 0.5000 0.5000 0.5000  4 Be 2.33, 4 Ni 2.33
Ni: 0.7500 0.7500 0.7500  4 Be 2.33, 4 Si 2.33

# 14
Here is an optimized crystal structure of ZnCuMoW from OQMD via LeMat-Bulk. Energies are from PBE.

Summary:
**Energy of formation**: 0.391 eV/atom
**Distance to the lowest polymorph of the same formula**: 0.0 meV per atom
**SG**: F-43m

abc: 4.3726 4.3726 4.3726
angles: 60.00 60.00 60.00
Last column: nearest neighbours and their distance in Å.
Sites, in units of the cell vectors:
Zn: 0.0000 0.0000 0.0000  4 Mo 2.68, 4 Cu 2.68
Cu: 0.2500 0.2500 0.2500  4 W 2.68, 4 Zn 2.68
Mo: 0.7500 0.7500 0.7500  4 W 2.68, 4 Zn 2.68
W: 0.5000 0.5000 0.5000  4 Mo 2.68, 4 Cu 2.68

# 15
Here is an optimized crystal structure of DyPaAl from OQMD via LeMat-Bulk. Energies are from PBE.

Summary:
**Distance to the lowest polymorph of the same formula**: 0.0 meV per atom
**SG**: F-43m

abc: 4.9084 4.9084 4.9084
angles: 60.00 60.00 60.00
Last column: nearest neighbours and their distance in Å.
Sites, in units of the cell vectors:
Dy: 0.0000 0.0000 0.0000  4 Al 3.01
Pa: 0.5000 0.5000 0.5000  4 Al 3.01
Al: 0.2500 0.2500 0.2500  4 Dy 3.01, 4 Pa 3.01

# 16
Here is an optimized crystal structure of LuPaIr from OQMD via LeMat-Bulk. Energies are from PBE.

Summary:
**Energy of formation**: -0.419 eV/atom
**Distance to the lowest polymorph of the same formula**: 0.0 meV per atom
**SG**: F-43m

abc: 4.7581 4.7581 4.7581
angles: 60.00 60.00 60.00
Last column: nearest neighbours and their distance in Å.
Sites, in units of the cell vectors:
Lu: 0.0000 0.0000 0.0000  4 Ir 2.91
Pa: 0.5000 0.5000 0.5000  4 Ir 2.91
Ir: 0.7500 0.7500 0.7500  4 Pa 2.91, 4 Lu 2.91

# 17
Here is an optimized crystal structure of LaTmAsO from OQMD via LeMat-Bulk. Energies are from PBE.

Summary:
**Distance to the lowest polymorph of the same formula**: 228.1 meV per atom
**SG**: P4/nmm

abc: 4.2084 4.2084 9.4308
angles: 90.00 90.00 90.00
Last column: nearest neighbours and their distance in Å.
Sites, in units of the cell vectors:
La: 0.2500 0.7500 0.0000  4 La 2.98, 4 As 3.01
La: 0.7500 0.2500 0.0000  4 La 2.98, 4 As 3.01
Tm: 0.2500 0.2500 0.4062  4 O 2.28
Tm: 0.7500 0.7500 0.5938  4 O 2.28
As: 0.2500 0.2500 0.7722  4 La 3.01, 4 O 3.32
As: 0.7500 0.7500 0.2278  4 La 3.01, 4 O 3.32
O: 0.2500 0.7500 0.5000  4 Tm 2.28
O: 0.7500 0.2500 0.5000  4 Tm 2.28

# 18
Here is an optimized crystal structure of AcCoHg from OQMD via LeMat-Bulk. Energies are from PBE.

Summary:
**Energy of formation**: 0.033 eV/atom
**Distance to the lowest polymorph of the same formula**: 0.0 meV per atom
**SG**: F-43m

abc: 4.8060 4.8060 4.8060
angles: 60.00 60.00 60.00
Last column: nearest neighbours and their distance in Å.
Sites, in units of the cell vectors:
Ac: 0.0000 0.0000 0.0000  4 Co 2.94
Co: 0.2500 0.2500 0.2500  4 Hg 2.94, 4 Ac 2.94
Hg: 0.5000 0.5000 0.5000  4 Co 2.94

# 19
Here is an optimized crystal structure of Sm2Sc2CI4Cl from OQMD via LeMat-Bulk. Energies are from PBE.

Summary:
**Distance to the lowest polymorph of the same formula**: 0.0 meV per atom
**SG**: C2/m

abc: 10.1157 10.1157 8.0826
angles: 101.40 101.40 22.03
Last column: nearest neighbours and their distance in Å.
Sites, in units of the cell vectors:
Sm: 0.9997 0.9997 0.2118  2 C 2.58
Sm: 0.0003 0.0003 0.7882  2 C 2.58
Sc: 0.3847 0.3847 0.9411  1 C 2.24
Sc: 0.6153 0.6153 0.0589  1 C 2.24
C: 0.5000 0.5000 0.0000  2 Sc 2.24
I: 0.1611 0.1611 0.3321  2 Sc 2.94, 1 Sm 3.16
I: 0.1626 0.1626 0.8335  2 Sc 2.94, 1 Sm 3.17
I: 0.8374 0.8374 0.1665  2 Sc 2.94, 1 Sm 3.17
I: 0.8389 0.8389 0.6679  2 Sc 2.94, 1 Sm 3.16
Cl: 0.5000 0.5000 0.5000  4 Sm 3.03

# 20
Here is an optimized crystal structure of CsPaO3 from OQMD via LeMat-Bulk. Energies are from PBE.

Summary:
**Final energy**: -7.654 eV/atom
**SG**: P4mm

abc: 4.4534 4.4534 4.4651
angles: 90.00 90.00 90.00
Last column: nearest neighbours and their distance in Å.
Sites, in units of the cell vectors:
Cs: 0.0000 0.0000 0.0000  12 O 3.15-3.16
Pa: 0.5000 0.5000 0.5020  6 O 2.23
O: 0.0000 0.5000 0.5006  2 Pa 2.23
O: 0.5000 0.0000 0.5006  2 Pa 2.23
O: 0.5000 0.5000 0.0025  2 Pa 2.23